DFT (PBE-GGA) results for a relaxed structure of Cs3HoO3.

Output
DOS(E_F) ... 0.00 states/eV/cell
DFT total energy ... -0.1867 Ha/atom
Raw formation energy ... -1.94 eV per atom
Energy above the most stable polymorph in this dataset ... 0.000 eV per atom
Spin magnetization ... 0.3 μB/cell

Cell lengths 8.209, 7.683, 12.361 Å; angles 90.00, 95.39, 90.00 degrees
Space group P2_1/c (No. 14)
Symmetry-distinct sites (fractional):
1 Cs 0.061 0.124 0.157 (multiplicity 4)
2 Cs 0.347 0.155 0.922 (multiplicity 4)
3 Cs 0.383 0.678 0.810 (multiplicity 4)
4 Ho 0.154 0.590 0.070 (multiplicity 4)
5 O 0.111 0.054 0.417 (multiplicity 4)
6 O 0.241 0.653 0.551 (multiplicity 4)
7 O 0.292 0.043 0.697 (multiplicity 4)



DFT (PBE-GGA) results for a relaxed structure of Cs5HoO4.

Output
DOS(E_F) ... 0.00 states/eV/cell
DFT total energy ... -0.1655 Ha/atom
Raw formation energy ... -1.64 eV per atom
Energy above the most stable polymorph in this dataset ... 0.000 eV per atom
Spin magnetization ... 0.0 μB/cell

Cell lengths 8.514, 9.985, 7.017 Å; angles 90.00, 90.00, 90.00 degrees
Space group Pmmn (No. 59, origin choice 2)
Symmetry-distinct sites (fractional):
1 Cs 0.011 0.063 0.244 (multiplicity 8)
2 Cs 0.250 0.750 0.326 (multiplicity 2)
3 Ho 0.250 0.250 0.718 (multiplicity 2)
4 O 0.034 0.250 0.882 (multiplicity 4)
5 O 0.250 0.067 0.549 (multiplicity 4)